# SCAN TeRhW3, single point on PBEsol structure
data_TeRhW3
_cell_length_a 4.7004
_cell_length_b 4.7004
_cell_length_c 4.7004
_cell_angle_alpha 90.00
_cell_angle_beta 90.00
_cell_angle_gamma 90.00
_symmetry_space_group_name_H-M 'P m -3 m'
_symmetry_Int_Tables_number 221
_symmetry_space_group_name_Hall '-P 4 2 3'
loop_
_atom_site_label
_atom_site_fract_x
_atom_site_fract_y
_atom_site_fract_z
Te1 0.0000 0.0000 0.0000
Rh1 0.5000 0.5000 0.5000
W1 0.0000 0.5000 0.5000
# Formation energy without anion corrections   2.0527 eV/atom
# Size of the total moment   0.00 μB per cell
# Crystal system   cubic